A geometry-optimized VBiH2 structure. Source: Alexandria, functional PBE.

The space group is Fm-3m (No. 225) and the conventional cell measures 5.914, 5.914 and 5.914 Å, with angles of 90.00, 90.00 and 90.00 degrees. The distinct sites, in fractional coordinates, are V at (0.000, 0.000, 0.000), Bi at (0.000, 0.000, 0.500) and H at (0.250, 0.250, 0.250).

As for the magnetic moment: 2.7 μB/f.u. As for the total energy: -4.0623 eV per atom.

A geometry-optimized Y2ErTm structure. Source: Alexandria, functional PBE.

The space group is P4/mmm (No. 123) and the conventional cell measures 5.001, 5.001 and 4.998 Å, with angles of 90.00, 90.00 and 90.00 degrees. The distinct sites, in fractional coordinates, are Y at (0.000, 0.500, 0.000), Er at (0.000, 0.000, 0.500) and Tm at (0.500, 0.500, 0.500).

The energy relative to the elements is 0.7 kcal/mol of atoms. As for the magnetic moment: 0.0 μB/f.u. As for the total energy: -5.4620 eV per atom.

A geometry-optimized Y2ErAlC structure. Source: Alexandria, functional PBE.

The space group is P4/mmm (No. 123) and the conventional cell measures 4.893, 4.893 and 4.835 Å, with angles of 90.00, 90.00 and 90.00 degrees. The distinct sites, in fractional coordinates, are Y at (0.000, 0.500, 0.000), Er at (0.000, 0.000, 0.500), Al at (0.500, 0.500, 0.500) and C at (0.000, 0.000, 0.000).

The energy relative to the elements is -9.8 kcal/mol of atoms. As for the magnetic moment: 0.0 μB/f.u. As for the total energy: -6.5168 eV per atom.

A geometry-optimized Pu4CS3 structure. Source: Alexandria, functional PBE.

The space group is P2/c (No. 13) and the conventional cell measures 6.681, 7.760 and 6.655 Å, with angles of 90.00, 109.21 and 90.00 degrees. The distinct sites, in fractional coordinates, are Pu at (0.223, 0.109, 0.005), Pu at (0.238, 0.362, 0.485), C at (0.000, 0.135, 0.250), S at (0.000, 0.376, 0.750), S at (0.500, 0.125, 0.750) and S at (0.500, 0.379, 0.250).

As for the magnetic moment: 0.1 μB/f.u. As for the total energy: -11.1135 eV per atom.

A geometry-optimized Pa2ReAu structure. Source: Alexandria, functional PBE.

The space group is P4/mmm (No. 123) and the conventional cell measures 4.473, 4.473 and 4.201 Å, with angles of 90.00, 90.00 and 90.00 degrees. The distinct sites, in fractional coordinates, are Pa at (0.000, 0.500, 0.000), Re at (0.000, 0.000, 0.500) and Au at (0.500, 0.500, 0.500).

The energy relative to the elements is -0.6 kcal/mol of atoms. As for the magnetic moment: 0.0 μB/f.u. As for the total energy: -8.7069 eV per atom.

A geometry-optimized Pm2ZnNi3Sn4 structure. Source: Alexandria, functional PBE.

The space group is P-4m2 (No. 115) and the conventional cell measures 4.441, 4.441 and 10.441 Å, with angles of 90.00, 90.00 and 90.00 degrees. The distinct sites, in fractional coordinates, are Pm at (0.000, 0.500, 0.248), Zn at (0.500, 0.500, 0.000), Ni at (0.000, 0.000, 0.000), Ni at (0.000, 0.500, 0.622), Sn at (0.000, 0.000, 0.500), Sn at (0.000, 0.500, 0.861) and Sn at (0.500, 0.500, 0.500).

The energy relative to the elements is -11.5 kcal/mol of atoms. As for the magnetic moment: 0.0 μB/f.u. As for the total energy: -4.9135 eV per atom.

A geometry-optimized Co2TcI structure. Source: Alexandria, functional PBE.

The space group is I-42d (No. 122) and the conventional cell measures 5.839, 5.839 and 9.438 Å, with angles of 90.00, 90.00 and 90.00 degrees. The distinct sites, in fractional coordinates, are Co at (0.214, 0.250, 0.125), Tc at (0.000, 0.000, 0.000) and I at (0.000, 0.000, 0.500).

As for the magnetic moment: 0.0 μB/f.u. As for the total energy: -5.5358 eV per atom.

A geometry-optimized NdSmTm3Th structure. Source: Alexandria, functional PBE.

The space group is C2/m (No. 12) and the conventional cell measures 19.575, 5.608 and 7.048 Å, with angles of 90.00, 90.28 and 90.00 degrees. The distinct sites, in fractional coordinates, are Nd at (0.147, 0.000, 0.459), Sm at (0.149, 0.000, 0.038), Tm at (0.024, 0.000, 0.754), Tm at (0.158, 0.500, 0.755), Tm at (0.221, 0.500, 0.254) and Th at (0.054, 0.500, 0.237).

The energy relative to the elements is 5.1 kcal/mol of atoms. As for the magnetic moment: 0.0 μB/f.u. As for the total energy: -4.8332 eV per atom.

A geometry-optimized UAs2Pd structure. Source: Alexandria, functional PBE.

The space group is R-3m (No. 166, hexagonal axes) and the conventional cell measures 4.1513, 4.1513 and 16.1450 Å, with angles of 90.00, 90.00 and 120.00 degrees. The distinct sites, in fractional coordinates, are U at (0.0000, 0.0000, 0.0000), As at (0.0000, 0.0000, 0.2419) and Pd at (0.0000, 0.0000, 0.5000).

The energy relative to the elements is -10.6 kcal/mol of atoms. As for the magnetic moment: 1.9 μB/f.u. As for the total energy: -6.9062 eV per atom.

A geometry-optimized Cd2AsIr structure. Source: Alexandria, functional PBE.

The space group is Pmmm (No. 47) and the conventional cell measures 3.221, 4.105 and 5.599 Å, with angles of 90.00, 90.00 and 90.00 degrees. The distinct sites, in fractional coordinates, are Cd at (0.000, 0.000, 0.241), As at (0.500, 0.500, 0.500) and Ir at (0.500, 0.500, 0.000).

The energy relative to the elements is 5.9 kcal/mol of atoms. As for the magnetic moment: 0.0 μB/f.u. As for the total energy: -3.5811 eV per atom.

A geometry-optimized LuMnCuPd structure. Source: Alexandria, functional PBE.

The space group is F-43m (No. 216) and the conventional cell measures 6.502, 6.502 and 6.502 Å, with angles of 90.00, 90.00 and 90.00 degrees. The distinct sites, in fractional coordinates, are Lu at (0.000, 0.000, 0.000), Mn at (0.000, 0.000, 0.500), Cu at (0.250, 0.250, 0.250) and Pd at (0.250, 0.250, 0.750).

The energy relative to the elements is -7.1 kcal/mol of atoms. As for the magnetic moment: 4.1 μB/f.u. As for the total energy: -6.0519 eV per atom.

A geometry-optimized LiPb2 structure. Source: Alexandria, functional PBE.

The space group is Immm (No. 71) and the conventional cell measures 3.651, 5.493 and 8.187 Å, with angles of 90.00, 90.00 and 90.00 degrees. The distinct sites, in fractional coordinates, are Li at (0.000, 0.000, 0.000) and Pb at (0.000, 0.500, 0.192).

The energy relative to the elements is -2.8 kcal/mol of atoms. As for the magnetic moment: 0.0 μB/f.u. As for the total energy: -3.2335 eV per atom.